A plane-wave DFT calculation with PBE was carried out for a geometry-optimized Dy2PaTl structure.

## Properties
The value obtained for the spin magnetization is 0.0 μB per cell. Its offset from the most stable computed form is 110.1 meV per atom. The value obtained for the total energy is -5.21 eV/atom. As for the energy of formation: 0.052 eV/atom. The density is 11.652 g/cm3. Its space group is P4/mmm, No. 123.

Lattice parameters (Å, degrees): 4.5348 4.8885 4.8885 90.00 90.00 90.00
Positions (direct):
Tl  0.5000  0.0000  0.0000
Pa  0.5000  0.5000  0.5000
Dy  0.0000  0.0000  0.5000
Dy  0.0000  0.5000  0.0000

---

A plane-wave DFT calculation with PBE was carried out for a geometry-optimized Dy2PaTl structure.

## Properties
The value obtained for the spin magnetization is 0.0 μB per cell. Its offset from the most stable computed form is 272.7 meV per atom. The value obtained for the total energy is -5.05 eV/atom. As for the energy of formation: 0.215 eV/atom. The density is 11.215 g/cm3. Its space group is R-3m, No. 166.

Lattice parameters (Å, degrees): 3.3002 3.3002 12.0883 82.15 82.15 60.00
Positions (direct):
Tl  0.5000  0.5000  0.5000
Pa  0.0000  0.0000  0.0000
Dy  0.0905  0.0905  0.7284
Dy  0.9095  0.9095  0.2716

---

A plane-wave DFT calculation with PBE was carried out for a geometry-optimized DyPaTl2 structure.

## Properties
The value obtained for the spin magnetization is 1.6 μB per cell. Its offset from the most stable computed form is 98.2 meV per atom. The value obtained for the total energy is -4.64 eV/atom. As for the energy of formation: 0.065 eV/atom. The density is 12.125 g/cm3. Its space group is Fm-3m, No. 225.

Lattice parameters (Å, degrees): 5.3763 5.3763 5.3759 60.00 60.00 60.00
Each line ends with the local moment (μB).
Positions (direct):
Tl  0.7500  0.7500  0.7501  0.02
Tl  0.2500  0.2500  0.2499  0.02
Pa  0.0000  0.0000  0.0000  1.11
Dy  0.5000  0.5000  0.5000  0.16

---

A plane-wave DFT calculation with PBE was carried out for a geometry-optimized DyPaTl2 structure.

## Properties
The value obtained for the spin magnetization is 2.0 μB per cell. Its offset from the most stable computed form is 64.6 meV per atom. The value obtained for the total energy is -4.68 eV/atom. As for the energy of formation: 0.031 eV/atom. The density is 12.271 g/cm3. Its space group is P4/mmm, No. 123.

Lattice parameters (Å, degrees): 4.5044 4.9095 4.9095 90.00 90.00 90.00
Each line ends with the local moment (μB).
Positions (direct):
Tl  0.0000  0.0000  0.5000  0.01
Tl  0.0000  0.5000  0.0000  0.01
Pa  0.5000  0.0000  0.0000  1.20
Dy  0.5000  0.5000  0.5000  0.41

---

A plane-wave DFT calculation with PBE was carried out for a geometry-optimized DyPaTl2 structure.

## Properties
The value obtained for the spin magnetization is 1.4 μB per cell. Its offset from the most stable computed form is 0.0 meV per atom. The value obtained for the total energy is -4.74 eV/atom. As for the energy of formation: -0.033 eV/atom. The density is 12.557 g/cm3. Its space group is P4/mmm, No. 123.

Lattice parameters (Å, degrees): 3.4125 3.4125 9.1112 90.00 90.00 90.00
Each line ends with the local moment (μB).
Positions (direct):
Tl  0.0000  0.0000  0.7540  0.00
Tl  0.0000  0.0000  0.2460  0.00
Pa  0.5000  0.5000  0.5000  0.94
Dy  0.5000  0.5000  0.0000  0.23

---

A plane-wave DFT calculation with PBE was carried out for a geometry-optimized DyTmPa structure.

## Properties
The value obtained for the spin magnetization is 0.0 μB per cell. Its offset from the most stable computed form is 0.0 meV per atom. The value obtained for the total energy is -6.08 eV/atom. As for the energy of formation: 0.109 eV/atom. The density is 10.972 g/cm3. Its space group is P3m1, No. 156.

Lattice parameters (Å, degrees): 3.4062 3.4062 8.4720 90.00 90.00 120.00
Positions (direct):
Pa  0.0000  0.0000  0.0011
Tm  0.6667  0.3333  0.3205
Dy  0.3333  0.6667  0.6784

---

A plane-wave DFT calculation with PBE was carried out for a geometry-optimized Dy5Tm12Pa3 structure.

## Properties
The value obtained for the spin magnetization is 19.5 μB per cell. The value obtained for the total energy is -4.03 eV/atom. As for the energy of formation: 1.225 eV/atom. The density is 7.437 g/cm3. Its space group is Ia-3d, No. 230.

Lattice parameters (Å, degrees): 16.0035 16.0035 16.0035 109.47 109.47 109.47
Each line ends with the local moment (μB).
Positions (direct):
Pa  0.7500  0.3750  0.1250  1.08
Pa  0.8750  0.7500  0.1250  1.08
Pa  0.3750  0.7500  0.6250  1.08
Pa  0.2500  0.1250  0.3750  1.08
Pa  0.8750  0.1250  0.2500  1.08
Pa  0.3750  0.6250  0.2500  1.08
Pa  0.6250  0.3750  0.7500  1.08
Pa  0.1250  0.8750  0.7500  1.08
Pa  0.7500  0.8750  0.6250  1.08
Pa  0.6250  0.2500  0.3750  1.08
Pa  0.1250  0.2500  0.8750  1.08
Pa  0.2500  0.6250  0.8750  1.08
Dy  0.1250  0.3750  0.2500  -0.04
Dy  0.0000  0.5000  0.0000  -0.12
Dy  0.0000  0.0000  0.0000  -0.12
Dy  0.3750  0.2500  0.1250  -0.04
Dy  0.5000  0.0000  0.5000  -0.12
Dy  0.5000  0.5000  0.0000  -0.12
Dy  0.1250  0.7500  0.3750  -0.04
Dy  0.7500  0.1250  0.8750  -0.04
Dy  0.7500  0.6250  0.3750  -0.04
Dy  0.3750  0.1250  0.7500  -0.04
Dy  0.6250  0.8750  0.2500  -0.04
Dy  0.5000  0.5000  0.5000  -0.12
Dy  0.5000  0.0000  0.0000  -0.12
Dy  0.0000  0.0000  0.5000  -0.12
Dy  0.2500  0.3750  0.6250  -0.04
Dy  0.2500  0.8750  0.1250  -0.04
Dy  0.0000  0.5000  0.5000  -0.12
Dy  0.8750  0.2500  0.6250  -0.04
Dy  0.6250  0.7500  0.8750  -0.04
Dy  0.8750  0.6250  0.7500  -0.04
Tm  0.7300  0.1456  0.0791  0.13
Tm  0.3491  0.5791  0.4336  0.13
Tm  0.9209  0.3544  0.2700  0.13
Tm  0.5791  0.2300  0.1456  0.13
Tm  0.5844  0.7300  0.6509  0.13
Tm  0.9209  0.5664  0.1509  0.13
Tm  0.3491  0.7700  0.4156  0.13
Tm  0.0664  0.9156  0.1456  0.13
Tm  0.5664  0.9209  0.6509  0.13
Tm  0.7300  0.5844  0.1509  0.13
Tm  0.7700  0.4209  0.3544  0.13
Tm  0.8491  0.9336  0.0791  0.13
Tm  0.1456  0.7300  0.5791  0.13
Tm  0.3544  0.4336  0.0844  0.13
Tm  0.0844  0.9336  0.3544  0.13
Tm  0.4156  0.1456  0.5664  0.13
Tm  0.0844  0.1509  0.2300  0.13
Tm  0.4209  0.6509  0.0664  0.13
Tm  0.8491  0.9156  0.2700  0.13
Tm  0.1456  0.4156  0.0664  0.13
Tm  0.3544  0.9209  0.7700  0.13
Tm  0.5664  0.6456  0.4156  0.13
Tm  0.9336  0.8491  0.5791  0.13
Tm  0.7700  0.3491  0.9156  0.13
Tm  0.4336  0.3544  0.5844  0.13
Tm  0.0664  0.1509  0.4209  0.13
Tm  0.2300  0.6509  0.0844  0.13
Tm  0.1509  0.0844  0.7300  0.13
Tm  0.6456  0.0791  0.2300  0.13
Tm  0.8544  0.5844  0.9336  0.13
Tm  0.5791  0.3491  0.9336  0.13
Tm  0.5844  0.8544  0.4336  0.13
Tm  0.9156  0.8491  0.7700  0.13
Tm  0.9156  0.0664  0.6456  0.13
Tm  0.8544  0.2700  0.4209  0.13
Tm  0.1509  0.0664  0.9209  0.13
Tm  0.6456  0.5664  0.9156  0.13
Tm  0.4336  0.0791  0.3491  0.13
Tm  0.2700  0.4156  0.8491  0.13
Tm  0.2300  0.5791  0.6456  0.13
Tm  0.9336  0.0844  0.8544  0.13
Tm  0.6509  0.2300  0.5844  0.13
Tm  0.4209  0.7700  0.8544  0.13
Tm  0.0791  0.4336  0.8491  0.13
Tm  0.4156  0.2700  0.3491  0.13
Tm  0.0791  0.6456  0.7300  0.13
Tm  0.6509  0.4209  0.5664  0.13
Tm  0.2700  0.8544  0.9209  0.13

---

A plane-wave DFT calculation with PBE was carried out for a geometry-optimized Dy2TmPa structure.

## Properties
The value obtained for the spin magnetization is 0.0 μB per cell. Its offset from the most stable computed form is 21.2 meV per atom. The value obtained for the total energy is -5.66 eV/atom. As for the energy of formation: 0.131 eV/atom. The density is 10.284 g/cm3. Its space group is P4/mmm, No. 123.

Lattice parameters (Å, degrees): 3.4026 3.4026 10.1109 90.00 90.00 90.00
Positions (direct):
Pa  0.5000  0.5000  0.0000
Tm  0.5000  0.5000  0.5000
Dy  0.0000  0.0000  0.7643
Dy  0.0000  0.0000  0.2357

---

A plane-wave DFT calculation with PBE was carried out for a geometry-optimized Dy14TmPa structure.

## Properties
The value obtained for the spin magnetization is 0.0 μB per cell. The value obtained for the total energy is -4.84 eV/atom. As for the energy of formation: 0.058 eV/atom. The density is 9.003 g/cm3. Its space group is P4/mmm, No. 123.

Lattice parameters (Å, degrees): 7.0495 7.0495 9.9286 90.00 90.00 90.00
Positions (direct):
Dy  0.3752  0.6248  0.5000
Dy  0.8749  0.1251  0.5000
Dy  0.8749  0.6249  0.0000
Dy  0.8752  0.6251  0.5000
Dy  0.3751  0.1251  0.0000
Dy  0.3749  0.1248  0.5000
Dy  0.6301  0.8801  0.7552
Dy  0.6301  0.8801  0.2448
Dy  0.1199  0.3699  0.7552
Dy  0.1199  0.3699  0.2448
Dy  0.1199  0.8801  0.7553
Dy  0.1199  0.8801  0.2447
Dy  0.6301  0.3699  0.7552
Dy  0.6301  0.3699  0.2448
Tm  0.3750  0.6250  0.0000
Pa  0.8750  0.1250  0.0000

---

A plane-wave DFT calculation with PBE was carried out for a geometry-optimized DyTmPa structure.

## Properties
The value obtained for the spin magnetization is 0.0 μB per cell. Its offset from the most stable computed form is 73.8 meV per atom. The value obtained for the total energy is -6.01 eV/atom. As for the energy of formation: 0.183 eV/atom. The density is 10.784 g/cm3. Its space group is P4/nmm, No. 129.

Lattice parameters (Å, degrees): 3.9482 3.9482 11.1127 90.00 90.00 90.00
Positions (direct):
Dy  0.0000  0.5000  0.5987
Dy  0.5000  0.0000  0.4013
Tm  0.5000  0.0000  0.7742
Tm  0.0000  0.5000  0.2258
Pa  0.0000  0.5000  0.9345
Pa  0.5000  0.0000  0.0655

---

A plane-wave DFT calculation with PBE was carried out for a geometry-optimized Dy2TmPa structure.

## Properties
The value obtained for the spin magnetization is 0.0 μB per cell. Its offset from the most stable computed form is 0.0 meV per atom. The value obtained for the total energy is -5.68 eV/atom. As for the energy of formation: 0.109 eV/atom. The density is 10.394 g/cm3. Its space group is R3m, No. 160.

Lattice parameters (Å, degrees): 3.4182 3.4182 11.6149 81.54 81.54 60.00
Positions (direct):
Dy  0.0853  0.0853  0.7441
Dy  0.2478  0.2478  0.2567
Tm  0.6664  0.6664  0.0008
Pa  0.5005  0.5005  0.4984

---

A plane-wave DFT calculation with PBE was carried out for a geometry-optimized DyTmPa structure.

## Properties
The value obtained for the spin magnetization is 0.0 μB per cell. Its offset from the most stable computed form is 63.8 meV per atom. The value obtained for the total energy is -6.02 eV/atom. As for the energy of formation: 0.173 eV/atom. The density is 10.957 g/cm3. Its space group is C2/m, No. 12.

Lattice parameters (Å, degrees): 5.8827 5.8818 8.4197 90.73 62.83 48.38
Positions (direct):
Dy  0.9289  0.7676  0.1988
Dy  0.4022  0.6085  0.3827
Tm  0.8972  0.4488  0.5555
Tm  0.4339  0.9273  0.0261
Pa  0.4041  0.2803  0.7177
Pa  0.9270  0.0958  0.8638

---

Please write out number 6 again, unchanged.
A plane-wave DFT calculation with PBE was carried out for a geometry-optimized DyTmPa structure.

## Properties
The value obtained for the spin magnetization is 0.0 μB per cell. Its offset from the most stable computed form is 0.0 meV per atom. The value obtained for the total energy is -6.08 eV/atom. As for the energy of formation: 0.109 eV/atom. The density is 10.972 g/cm3. Its space group is P3m1, No. 156.

Lattice parameters (Å, degrees): 3.4062 3.4062 8.4720 90.00 90.00 120.00
Positions (direct):
Pa  0.0000  0.0000  0.0011
Tm  0.6667  0.3333  0.3205
Dy  0.3333  0.6667  0.6784

---

Question: Which formula does entry 7 have?
Answer: Dy5Tm12Pa3

---

Question: What is the formula in the sixth record?
Answer: DyTmPa

---

Question: Which formula does entry 9 have?
Answer: Dy14TmPa